The following is a GGA-PBE calculation of a relaxed CdAu2F8 crystal, from Alexandria.

a b c (Å): 5.488 5.977 5.984
angles (deg): 68.65 85.75 85.50
Element x y z (fractional)
Cd1 0.000 0.000 0.000
Au1 0.251 0.353 0.358
Au2 0.749 0.647 0.642
F1 0.238 0.058 0.650
F2 0.242 0.545 0.561
F3 0.244 0.651 0.070
F4 0.271 0.155 0.152
F5 0.729 0.845 0.848
F6 0.756 0.349 0.930
F7 0.758 0.455 0.439
F8 0.762 0.942 0.350

Computed properties:
polymorph energy (0 for the lowest one) = 21 meV per atom
size of the total moment = 0.00 μB/f.u.
total energy = -3.398 eV/atom
raw formation energy = -1358 meV per atom



The following is a GGA-PBE calculation of a relaxed CdAuF2 crystal, from Alexandria.

a b c (Å): 6.183 6.183 6.183
angles (deg): 90.00 90.00 90.00
Element x y z (fractional)
Cd1 0.000 0.000 0.000
Cd2 0.000 0.500 0.500
Cd3 0.500 0.000 0.500
Cd4 0.500 0.500 0.000
Au1 0.000 0.000 0.500
Au2 0.000 0.500 0.000
Au3 0.500 0.000 0.000
Au4 0.500 0.500 0.500
F1 0.250 0.250 0.250
F2 0.250 0.250 0.750
F3 0.250 0.750 0.250
F4 0.250 0.750 0.750
F5 0.750 0.250 0.250
F6 0.750 0.250 0.750
F7 0.750 0.750 0.250
F8 0.750 0.750 0.750

Computed properties:
polymorph energy (0 for the lowest one) = 318 meV per atom
size of the total moment = 0.00 μB/f.u.
DOS at the Fermi energy = 0.22 states/eV per atom
total energy = -2.904 eV/atom
raw formation energy = -920 meV per atom



Q: Which value of polymorph energy (0 for the lowest one) does entry 2 give?
A: 318 meV per atom